{"formula": "NaZrAs2", "functional": "GGA-PBEsol", "state": "relaxed", "spacegroup": "I-42d (122)", "e_form_ev_per_atom": -0.140, "lattice_angstrom": [[6.028, 0.000, 0.000], [0.000, 6.028, 0.000], [-3.014, -3.014, 6.942]], "species": ["Zr", "As", "As", "As", "As", "Zr", "Na", "Na"], "frac_coords": [[0.250, 0.750, 0.500], [0.125, 0.060, 0.750], [0.625, 0.690, 0.750], [0.310, 0.875, 0.250], [0.940, 0.375, 0.250], [0.000, 0.000, 0.000], [0.750, 0.250, 0.500], [0.500, 0.500, 0.000]]}